PBEsol LiTcSbW2, relaxed; symmetry = P4/mmm, No. 123; density = 12.8 g cm⁻³; crystal system = tetragonal; total moment = 0.8 μB/cell; uncorrected formation energy = 1.545 eV per atom; DOS at the Fermi energy = 7.3 states/eV/cell
1.0
4.244 0.000 0.000
0.000 4.244 0.000
0.000 0.000 4.268
Li Tc Sb W
1 1 1 2
Cartesian
0.000 0.000 0.000
2.122 2.122 2.134
0.000 0.000 2.134
0.000 2.122 0.000
2.122 0.000 0.000